A plane-wave DFT calculation with PBEsol was carried out for a relaxed structure of Mn5CuP4O16.

Results
* symmetry: P2_1, No. 4
* uncorrected formation energy: -1802 meV per atom
* DOS at the Fermi energy: 14.375 states/eV/cell

a = 6.0335 Å, b = 8.8068 Å, c = 11.7340 Å
α = 90.00°, β = 90.00°, γ = 98.55°
Each line ends with the local moment (μB).
Atoms (fractional coordinates):
O1 0.8770 0.2505 0.2879  0.06
O2 0.1230 0.7495 0.7879  0.06
O3 0.3639 0.5408 0.2275  0.04
O4 0.2305 0.7654 0.4278  0.01
O5 0.2651 0.2462 0.5856  0.06
O6 0.0774 0.0006 0.6798  0.06
O7 0.7349 0.7538 0.0856  0.06
O8 0.8618 0.6131 0.5767  0.01
O9 0.6361 0.4592 0.7275  0.04
O10 0.8634 0.5370 0.2673  0.04
O11 0.5732 0.9949 0.8260  0.06
O12 0.3545 0.6134 0.9215  0.06
O13 0.4291 0.5689 0.5678  0.06
O14 0.1382 0.3869 0.0767  0.01
O15 0.4854 0.9770 0.5367  0.06
O16 0.1346 0.7841 0.1155  0.07
O17 0.4268 0.0051 0.3260  0.06
O18 0.5146 0.0230 0.0367  0.06
O19 0.6273 0.7487 0.7119  0.07
O20 0.7695 0.2346 0.9278  0.01
O21 0.9218 0.5670 0.9295  0.05
O22 0.5709 0.4311 0.0678  0.06
O23 0.6455 0.3866 0.4215  0.06
O24 0.9815 0.9589 0.9685  0.02
O25 0.0185 0.0411 0.4685  0.02
O26 0.0782 0.4330 0.4295  0.05
O27 0.3727 0.2513 0.2119  0.07
O28 0.3697 0.2124 0.8972  0.01
O29 0.6303 0.7876 0.3972  0.01
O30 0.1366 0.4630 0.7673  0.04
O31 0.8654 0.2159 0.6155  0.07
O32 0.9226 0.9994 0.1798  0.06
Mn1 0.9111 0.5436 0.1028  4.27
Mn2 0.4179 0.5624 0.3924  4.33
Mn3 0.4279 0.7782 0.0453  4.40
Mn4 0.8708 0.8885 0.8058  4.44
Mn5 0.0889 0.4564 0.6028  4.27
Mn6 0.5721 0.2218 0.5453  4.40
Mn7 0.3696 0.8854 0.6966  4.46
Mn8 0.6304 0.1146 0.1966  4.46
Mn9 0.1292 0.1115 0.3058  4.44
Mn10 0.5821 0.4376 0.8924  4.33
Cu1 0.9279 0.7940 0.4531  -0.28
Cu2 0.0721 0.2060 0.9531  -0.28
P1 0.1323 0.5948 0.8511  0.03
P2 0.8677 0.4052 0.3511  0.03
P3 0.3604 0.4041 0.1465  0.03
P4 0.5565 0.1138 0.9225  0.02
P5 0.0546 0.1214 0.5861  0.03
P6 0.6396 0.5959 0.6465  0.03
P7 0.4435 0.8862 0.4225  0.02
P8 0.9454 0.8786 0.0861  0.03

=====

A plane-wave DFT calculation with PBEsol was carried out for a relaxed structure of Li2AuSeS.

Results
* symmetry: P4/mmm, No. 123
* uncorrected formation energy: -86 meV per atom
* DOS at the Fermi energy: 1.003 states/eV/cell

a = 4.4493 Å, b = 4.4493 Å, c = 5.2009 Å
α = 90.00°, β = 90.00°, γ = 90.00°
Atoms (fractional coordinates):
S1 0.0000 0.0000 0.5000
Se1 0.0000 0.0000 0.0000
Li1 0.0000 0.5000 0.0000
Li2 0.5000 0.0000 0.0000
Au1 0.5000 0.5000 0.5000

=====

A plane-wave DFT calculation with PBEsol was carried out for a relaxed structure of DyTe2.

Results
* symmetry: P4/nmm, No. 129
* uncorrected formation energy: -1190 meV per atom
* DOS at the Fermi energy: 0.843 states/eV/cell

a = 4.3743 Å, b = 4.3743 Å, c = 8.7267 Å
α = 90.00°, β = 90.00°, γ = 90.00°
Atoms (fractional coordinates):
Te1 0.5000 0.0000 0.6289
Te2 0.0000 0.5000 0.3711
Te3 0.5000 0.5000 0.0000
Te4 0.0000 0.0000 0.0000
Dy1 0.0000 0.5000 0.7302
Dy2 0.5000 0.0000 0.2698

=====

A plane-wave DFT calculation with PBEsol was carried out for a relaxed structure of La2Al.

Results
* symmetry: C2/m, No. 12
* DFT formation energy: -0.66 eV per formula unit
* DOS at the Fermi energy: 6.263 states/eV/cell

a = 3.6399 Å, b = 6.8232 Å, c = 7.3525 Å
α = 103.01°, β = 90.00°, γ = 105.47°
Atoms (fractional coordinates):
Al1 0.0153 0.0306 0.8118
Al2 0.9847 0.9694 0.1882
La1 0.3280 0.6560 0.8936
La2 0.6199 0.2397 0.5370
La3 0.3801 0.7603 0.4630
La4 0.6720 0.3440 0.1064

=====

A plane-wave DFT calculation with PBEsol was carried out for a relaxed structure of SnPbO3.

Results
* symmetry: Pbam, No. 55
* uncorrected formation energy: -1423 meV per atom
* DOS at the Fermi energy: 0.000 states/eV/cell

a = 5.7620 Å, b = 8.0793 Å, c = 11.6448 Å
α = 90.00°, β = 90.00°, γ = 90.00°
Atoms (fractional coordinates):
O1 0.0000 0.2040 0.5000
O2 0.2136 0.5000 0.5910
O3 0.0000 0.7894 0.0000
O4 0.2321 0.0000 0.6605
O5 0.2679 0.0000 0.1605
O6 0.5000 0.2040 0.0000
O7 0.7321 0.0000 0.8395
O8 0.5000 0.7894 0.5000
O9 0.5196 0.2901 0.2427
O10 0.5196 0.7099 0.2427
O11 0.7864 0.5000 0.4090
O12 0.0000 0.2106 0.0000
O13 0.5000 0.7960 0.0000
O14 0.5000 0.2106 0.5000
O15 0.4804 0.2901 0.7573
O16 0.9804 0.7099 0.7427
O17 0.0000 0.7960 0.5000
O18 0.2864 0.5000 0.0910
O19 0.7136 0.5000 0.9090
O20 0.0196 0.2901 0.2573
O21 0.0196 0.7099 0.2573
O22 0.9804 0.2901 0.7427
O23 0.4804 0.7099 0.7573
O24 0.7679 0.0000 0.3395
Pb1 0.7271 0.5000 0.1308
Pb2 0.2679 0.0000 0.8811
Pb3 0.2321 0.0000 0.3811
Pb4 0.2271 0.5000 0.3692
Pb5 0.2729 0.5000 0.8692
Pb6 0.7729 0.5000 0.6308
Pb7 0.7321 0.0000 0.1189
Pb8 0.7679 0.0000 0.6189
Sn1 0.2521 0.7503 0.6249
Sn2 0.2521 0.2497 0.6249
Sn3 0.2479 0.7503 0.1249
Sn4 0.7521 0.2497 0.8751
Sn5 0.7479 0.2497 0.3751
Sn6 0.2479 0.2497 0.1249
Sn7 0.7479 0.7503 0.3751
Sn8 0.7521 0.7503 0.8751

=====

A plane-wave DFT calculation with PBEsol was carried out for a relaxed structure of YTaMn2C.

Results
* symmetry: P4/mmm, No. 123
* DFT formation energy: 1.85 eV per formula unit
* DOS at the Fermi energy: 4.602 states/eV/cell

a = 3.8892 Å, b = 3.8892 Å, c = 4.6536 Å
α = 90.00°, β = 90.00°, γ = 90.00°
Each line ends with the local moment (μB).
Atoms (fractional coordinates):
Mn1 0.0000 0.5000 0.0000  1.73
Mn2 0.5000 0.0000 0.0000  1.73
Y1 0.0000 0.0000 0.5000  -0.07
C1 0.0000 0.0000 0.0000  -0.13
Ta1 0.5000 0.5000 0.5000  -0.20

=====

For each record above, in turn, the calculated DFT total energy values are -7.97 -3.30 -5.20 -5.15 -6.22 -9.34 eV per atom.